# 1
# La2MgGa7 | the Alexandria database | PBE | relaxed
data_La2MgGa7
_chemical_formula_sum 'La2 Mg1 Ga7'
_symmetry_space_group_name_H-M 'P -4 m 2'
_symmetry_Int_Tables_number 115
_cell_length_a 4.394
_cell_length_b 4.394
_cell_length_c 11.001
_cell_angle_alpha 90.00
_cell_angle_beta 90.00
_cell_angle_gamma 90.00
loop_
_symmetry_equiv_pos_as_xyz
'x,y,z'
'y,-x,-z'
'-x,-y,z'
'-y,x,-z'
'-x,y,z'
'-y,-x,-z'
'x,-y,z'
'y,x,-z'
loop_
_atom_site_label
_atom_site_type_symbol
_atom_site_fract_x
_atom_site_fract_y
_atom_site_fract_z
La1 La 0.000 0.500 0.242
Mg1 Mg 0.000 0.000 0.500
Ga1 Ga 0.000 0.000 0.000
Ga2 Ga 0.000 0.500 0.642
Ga3 Ga 0.000 0.500 0.869
Ga4 Ga 0.500 0.500 0.000
Ga5 Ga 0.500 0.500 0.500
# electronic total energy = -37.6 eV per cell
# Fermi-level density of states = 0.62 states/eV per atom
# formation energy = -496.8 meV/atom
# total moment = 0.00 μB per atom

=====

# 2
# La2MgGa4 | the Alexandria database | PBE | relaxed
data_La2MgGa4
_chemical_formula_sum 'La4 Mg2 Ga8'
_symmetry_space_group_name_H-M 'I 4/m m m'
_symmetry_Int_Tables_number 139
_symmetry_space_group_name_Hall '-I 4 2'
_cell_length_a 4.856
_cell_length_b 4.856
_cell_length_c 15.759
_cell_angle_alpha 90.00
_cell_angle_beta 90.00
_cell_angle_gamma 90.00
loop_
_atom_site_label
_atom_site_type_symbol
_atom_site_fract_x
_atom_site_fract_y
_atom_site_fract_z
La1 La 0.000 0.000 0.137
Mg1 Mg 0.000 0.000 0.500
Ga1 Ga 0.000 0.000 0.332
Ga2 Ga 0.000 0.500 0.000
# electronic total energy = -49.3 eV per cell
# Fermi-level density of states = 0.66 states/eV per atom
# formation energy = -157.8 meV/atom
# total moment = 0.00 μB per atom